1.
First-principles (PBE) data for an optimized crystal structure of LaNd3Sm2Se6, as listed in Alexandria via LeMat-Bulk.

abc: 7.326 7.326 7.320
angles: 99.59 99.59 120.23
Atoms (fractional coordinates):
Se 0.917 0.578 0.751
Se 0.422 0.083 0.249
Se 0.257 0.257 0.754
Se 0.083 0.422 0.249
Se 0.578 0.917 0.751
Se 0.743 0.743 0.246
Nd 0.835 0.165 0.500
Nd 0.165 0.835 0.500
Nd 0.500 0.500 0.500
Sm 0.333 0.667 0.000
Sm 0.667 0.333 0.000
La 0.000 0.000 0.000

Formation energy (no corrections) (eV per atom): -1.86



2.
First-principles (PBE) data for an optimized crystal structure of La3Tb2Pm6Tm, as listed in Alexandria via LeMat-Bulk.

abc: 6.321 6.321 12.094
angles: 95.02 95.02 120.05
Atoms (fractional coordinates):
Pm 0.586 0.919 0.756
Pm 0.919 0.586 0.756
Pm 0.414 0.081 0.244
Pm 0.749 0.749 0.244
Pm 0.251 0.251 0.756
Pm 0.081 0.414 0.244
Tb 0.667 0.333 0.000
Tb 0.333 0.667 0.000
Tm 0.000 0.000 0.000
La 0.167 0.833 0.500
La 0.500 0.500 0.500
La 0.833 0.167 0.500

E_tot (eV per atom): -4.731



3.
First-principles (PBE) data for an optimized crystal structure of Li2ZrFe, as listed in Alexandria via LeMat-Bulk.

abc: 5.556 5.556 2.684
angles: 90.00 90.00 125.88
Last column: magnetic moment on the atom in μB.
Atoms (fractional coordinates):
Zr 0.500 0.000 0.500  -0.27
Li 0.000 0.000 0.000  -0.03
Li 0.500 0.500 0.000  -0.03
Fe 0.000 0.500 0.500  2.07

Energy relative to the lowest polymorph listed for this composition (eV per atom): 0.223



no.,magnetic moment (μB per cell)
1,0.0
2,0.0
3,1.6